A relaxed ThH5Pd4 crystal, computed with PBE.

Values from the calculation:
- DOS(E_F) (states/eV/atom) = 0.263
- VASP energy (Ha/atom) = -0.17537
- V (Å³ per cell) = 238.6
- spin magnetization (μB per cell) = 0.0
- density (kg/m3) = 9224

Lattice parameters (Å, degrees): 4.7610 7.0793 7.0798 90.00 90.00 90.00
Element x y z (fractional)
H  0.4017  0.4204  0.9203
Pd  0.2121  0.2500  0.0424
H  0.5983  0.5796  0.4203
Pd  0.2120  0.5423  0.7500
H  0.5983  0.9204  0.0797
Pd  0.2120  0.9577  0.7500
Pd  0.2121  0.2500  0.4576
H  0.4017  0.4204  0.5797
Pd  0.7880  0.4577  0.2500
Pd  0.7879  0.7500  0.5424
H  0.9998  0.7500  0.7500
H  0.0002  0.2500  0.2500
H  0.4017  0.0796  0.9203
H  0.5983  0.9204  0.4203
H  0.4017  0.0796  0.5797
Pd  0.7879  0.7500  0.9576
Th  0.2256  0.7500  0.2500
H  0.5983  0.5796  0.0797
Pd  0.7880  0.0423  0.2500
Th  0.7744  0.2500  0.7500

---

A relaxed ThHPd2 crystal, computed with PBE.

Values from the calculation:
- DOS(E_F) (states/eV/atom) = 1.090
- VASP energy (Ha/atom) = -0.19130
- V (Å³ per cell) = 67.7
- spin magnetization (μB per cell) = 0.0
- density (kg/m3) = 10941
- ΔE to the lowest computed polymorph (kJ/mol of formula units) = 274

Lattice parameters (Å, degrees): 3.2346 3.2346 7.6984 77.87 77.87 60.00
Element x y z (fractional)
Th  0.0000  0.0000  0.0000
Pd  0.8821  0.8821  0.3538
H  0.5000  0.5000  0.5000
Pd  0.1179  0.1179  0.6462

---

A relaxed Th3H12Pd5 crystal, computed with PBE.

Values from the calculation:
- DOS(E_F) (states/eV/atom) = 0.481
- VASP energy (Ha/atom) = -0.17230
- V (Å³ per cell) = 901.0
- spin magnetization (μB per cell) = 0.0
- density (kg/m3) = 9144

Lattice parameters (Å, degrees): 10.5384 10.5384 10.5384 109.47 109.47 109.47
Element x y z (fractional)
H  0.0844  0.1753  0.1953
Pd  0.6250  0.7500  0.8750
H  0.4156  0.1109  0.5909
H  0.4156  0.3047  0.3247
H  0.8891  0.5844  0.9091
Th  0.2500  0.6250  0.8750
H  0.9156  0.8247  0.8047
H  0.5909  0.9800  0.6753
H  0.5200  0.3247  0.9091
H  0.1753  0.0844  0.6953
H  0.1953  0.6753  0.0844
Pd  0.3750  0.2500  0.1250
Pd  0.5000  0.5000  0.5000
Pd  0.1250  0.3750  0.2500
H  0.0844  0.9091  0.3891
H  0.5844  0.8891  0.4091
H  0.8247  0.9091  0.0200
H  0.6953  0.5844  0.1753
Pd  0.5000  0.0000  0.5000
Pd  0.2500  0.8750  0.1250
Pd  0.7500  0.6250  0.3750
Pd  0.5000  0.5000  0.0000
Th  0.1250  0.2500  0.8750
H  0.3891  0.9800  0.8047
H  0.6753  0.1953  0.5844
H  0.1753  0.0909  0.9800
Pd  0.0000  0.0000  0.0000
Th  0.6250  0.2500  0.3750
Pd  0.3750  0.1250  0.7500
Th  0.3750  0.6250  0.2500
H  0.6109  0.5909  0.9156
Th  0.3750  0.7500  0.6250
Pd  0.0000  0.0000  0.5000
H  0.9156  0.0909  0.6109
H  0.9091  0.8247  0.5200
H  0.0909  0.1753  0.4800
H  0.6953  0.1109  0.0200
H  0.8891  0.3047  0.4800
H  0.3891  0.4091  0.0844
H  0.8247  0.9156  0.3047
H  0.0909  0.9156  0.1109
H  0.9800  0.5909  0.1753
Pd  0.8750  0.6250  0.7500
H  0.0200  0.4091  0.8247
Th  0.2500  0.1250  0.3750
H  0.6109  0.0200  0.1953
H  0.8047  0.3247  0.9156
H  0.8047  0.4800  0.3891
Th  0.6250  0.3750  0.7500
H  0.3047  0.4156  0.8247
Pd  0.0000  0.5000  0.0000
H  0.3247  0.5200  0.4091
H  0.1109  0.6953  0.5200
Pd  0.5000  0.0000  0.0000
H  0.4800  0.8047  0.8891
Pd  0.8750  0.2500  0.6250
Pd  0.6250  0.8750  0.2500
Pd  0.2500  0.3750  0.6250
H  0.4091  0.3891  0.5844
H  0.1109  0.4156  0.0909
Pd  0.0000  0.5000  0.5000
Th  0.8750  0.1250  0.2500
H  0.0200  0.6109  0.6953
H  0.4091  0.0200  0.3247
Pd  0.7500  0.1250  0.8750
H  0.3047  0.8891  0.9800
H  0.3247  0.8047  0.4156
Th  0.7500  0.8750  0.6250
Th  0.1250  0.8750  0.7500
Th  0.8750  0.7500  0.1250
H  0.9800  0.3891  0.3047
H  0.1953  0.5200  0.6109
H  0.5844  0.6953  0.6753
Th  0.7500  0.3750  0.1250
Pd  0.1250  0.7500  0.3750
H  0.5909  0.6109  0.4156
H  0.9091  0.0844  0.8891
H  0.4800  0.6753  0.0909
H  0.5200  0.1953  0.1109
H  0.6753  0.4800  0.5909

---

A relaxed ThHPd crystal, computed with PBE.

Values from the calculation:
- DOS(E_F) (states/eV/atom) = 0.525
- VASP energy (Ha/atom) = -0.21488
- V (Å³ per cell) = 99.4
- spin magnetization (μB per cell) = 0.0
- density (kg/m3) = 11338
- ΔE to the lowest computed polymorph (kJ/mol of formula units) = 52

Lattice parameters (Å, degrees): 3.4875 5.0256 5.6733 90.00 90.00 90.00
Element x y z (fractional)
H  0.8117  0.8460  0.8460
Pd  0.8116  0.1525  0.2522
Pd  0.8117  0.6525  0.5407
H  0.8115  0.3460  0.9468
Th  0.3117  0.6500  0.1132
Th  0.3116  0.1500  0.6797

---

A relaxed Ti2H4Pd3 crystal, computed with PBE.

Values from the calculation:
- DOS(E_F) (states/eV/atom) = 0.482
- VASP energy (Ha/atom) = -0.19397
- V (Å³ per cell) = 88.7
- spin magnetization (μB per cell) = 0.0
- density (kg/m3) = 7844

Lattice parameters (Å, degrees): 2.8350 4.9141 6.9143 105.19 90.00 106.77
Element x y z (fractional)
Ti  0.3104  0.6208  0.2090
Pd  0.6180  0.2359  0.3913
Pd  0.3820  0.7641  0.6087
H  0.0219  0.0438  0.7399
Pd  0.0000  0.0000  0.0000
Ti  0.6896  0.3792  0.7910
H  0.9781  0.9562  0.2601
H  0.6898  0.3795  0.0673
H  0.3102  0.6205  0.9327

---

A relaxed TiHPd crystal, computed with PBE.

Values from the calculation:
- DOS(E_F) (states/eV/atom) = 0.638
- VASP energy (Ha/atom) = -0.21749
- V (Å³ per cell) = 69.2
- spin magnetization (μB per cell) = 0.0
- density (kg/m3) = 7453
- ΔE to the lowest computed polymorph (kJ/mol of formula units) = 0

Lattice parameters (Å, degrees): 2.9152 5.4078 7.6916 45.63 55.31 57.41
Element x y z (fractional)
Pd  0.0476  0.0112  0.2921
H  0.6200  0.4365  0.9594
Ti  0.1355  0.6158  0.1633
Ti  0.2241  0.6730  0.7327
H  0.7396  0.8524  0.9367
Pd  0.3120  0.2777  0.6040

---

A relaxed Ti2H2Pd crystal, computed with PBE.

Values from the calculation:
- DOS(E_F) (states/eV/atom) = 0.501
- VASP energy (Ha/atom) = -0.21976
- V (Å³ per cell) = 104.6
- spin magnetization (μB per cell) = 0.0
- density (kg/m3) = 6481
- ΔE to the lowest computed polymorph (kJ/mol of formula units) = 23

Lattice parameters (Å, degrees): 5.3433 5.5749 5.0090 72.66 57.78 55.98
Element x y z (fractional)
H  0.5684  0.5010  0.7048
Ti  0.8259  0.2499  0.3480
Pd  0.8524  0.7500  0.2950
Ti  0.1741  0.7501  0.6520
H  0.2731  0.0012  0.2952
H  0.7269  0.9988  0.7048
Ti  0.4780  0.2500  0.0437
Pd  0.1476  0.2500  0.7050
H  0.4316  0.4990  0.2952
Ti  0.5219  0.7500  0.9563

---

A relaxed TiHPd4 crystal, computed with PBE.

Values from the calculation:
- DOS(E_F) (states/eV/atom) = 0.526
- VASP energy (Ha/atom) = -0.19529
- V (Å³ per cell) = 184.7
- spin magnetization (μB per cell) = 0.0
- density (kg/m3) = 8535

Lattice parameters (Å, degrees): 6.2199 6.2199 6.2199 111.37 111.37 105.73
Element x y z (fractional)
Pd  0.3073  0.6111  0.3039
Pd  0.6935  0.3932  0.6997
Pd  0.3073  0.0034  0.6961
H  0.7946  0.7946  0.0000
Pd  0.3611  0.5573  0.8039
Pd  0.1432  0.9435  0.1997
Pd  0.6935  0.9938  0.3003
H  0.5446  0.0446  0.5000
Ti  0.9539  0.4539  0.5000
Pd  0.7534  0.5573  0.1961
Ti  0.2039  0.2039  0.0000
Pd  0.7438  0.9435  0.8003

---

A relaxed Ti2H2Pd crystal, computed with PBE.

Values from the calculation:
- DOS(E_F) (states/eV/atom) = 1.084
- VASP energy (Ha/atom) = -0.20917
- V (Å³ per cell) = 106.2
- spin magnetization (μB per cell) = 0.0
- density (kg/m3) = 6383
- ΔE to the lowest computed polymorph (kJ/mol of formula units) = 162

Lattice parameters (Å, degrees): 6.1943 6.1943 2.7686 90.00 90.00 90.00
Element x y z (fractional)
Ti  0.8481  0.3481  0.5000
Ti  0.6519  0.8481  0.5000
Ti  0.3481  0.1519  0.5000
H  0.8872  0.6128  0.0000
Pd  0.5000  0.5000  0.0000
Pd  0.0000  0.0000  0.0000
Ti  0.1519  0.6519  0.5000
H  0.1128  0.3872  0.0000
H  0.3872  0.8872  0.0000
H  0.6128  0.1128  0.0000

---

A relaxed TiH2Pd2 crystal, computed with PBE.

Values from the calculation:
- DOS(E_F) (states/eV/atom) = 0.602
- VASP energy (Ha/atom) = -0.19275
- V (Å³ per cell) = 111.9
- spin magnetization (μB per cell) = 0.0
- density (kg/m3) = 7798
- ΔE to the lowest computed polymorph (kJ/mol of formula units) = 11

Lattice parameters (Å, degrees): 5.5385 5.5385 3.6476 90.00 90.00 90.00
Element x y z (fractional)
Pd  0.3278  0.1722  0.5000
H  0.6704  0.8296  0.0000
Ti  0.5000  0.5000  0.0000
Ti  0.0000  0.0000  0.0000
Pd  0.8278  0.3278  0.5000
Pd  0.6722  0.8278  0.5000
H  0.3296  0.1704  0.0000
H  0.1704  0.6704  0.0000
Pd  0.1722  0.6722  0.5000
H  0.8296  0.3296  0.0000